Run a
Compound: BaBe3Ni
Source: Alexandria via LeMat-Bulk
Functional: PBE
Structure: optimized geometry

Calculated values
size of the total moment: 0.00 μB/f.u.
density of states at the Fermi level: 3.97 states/eV per cell

Cell: 5.0366 5.0366 5.0366 Å, 90.00 90.00 90.00°
Closest atoms and distances in Å follow each position.
Space group Pm-3m (No. 221)
One atom of each set of equivalent atoms:
Ba (0.0000, 0.0000, 0.0000) (multiplicity 1)  6 Be 2.52
Be (0.0000, 0.0000, 0.5000) (multiplicity 3)  2 Ba 2.52
Ni (0.5000, 0.5000, 0.5000) (multiplicity 1)  12 Be 3.56

***

Run b
Compound: BaBe3Ni
Source: Alexandria via LeMat-Bulk
Functional: PBE
Structure: optimized geometry

Calculated values
size of the total moment: 0.00 μB/f.u.
density of states at the Fermi level: 1.16 states/eV per cell

Cell: 4.3887 4.3887 4.3887 Å, 90.00 90.00 90.00°
Closest atoms and distances in Å follow each position.
Space group Pm-3m (No. 221)
One atom of each set of equivalent atoms:
Ba (0.0000, 0.0000, 0.0000) (multiplicity 1)  12 Be 3.10
Be (0.0000, 0.5000, 0.5000) (multiplicity 3)  2 Ni 2.19
Ni (0.5000, 0.5000, 0.5000) (multiplicity 1)  6 Be 2.19

***

Ranking the structures above by stability puts run b first and run a last.